{"formula": "Nb3Mo5H12", "functional": "PBE", "state": "optimized geometry", "lattice_angstrom": [[-2.169, -8.203, -4.441], [9.271, -0.025, 2.401], [-5.341, 0.861, 7.902]], "species": ["H", "Mo", "H", "H", "H", "H", "H", "H", "Mo", "Mo", "Mo", "Mo", "Mo", "Nb", "Nb", "H", "Mo", "H", "Mo", "H", "H", "H", "H", "Nb", "H", "H", "H", "H", "H", "Mo", "Nb", "Nb", "H", "Nb", "H", "Mo", "H", "Mo", "Mo", "H", "H", "H", "H", "Mo", "Mo", "Nb", "H", "H", "H", "H", "H", "Mo", "H", "Nb", "Mo", "H", "Mo", "Nb", "Mo", "Nb", "H", "Mo", "H", "H", "H", "H", "H", "H", "Mo", "H", "H", "Nb", "H", "H", "H", "Nb", "H", "H", "H", "H"], "fractional_positions": [[0.723, 0.140, 0.060], [0.750, 0.125, 0.875], [0.060, 0.640, 0.723], [0.837, 0.917, 0.277], [0.080, 0.163, 0.440], [0.163, 0.080, 0.940], [0.663, 0.223, 0.583], [0.860, 0.583, 0.920], [0.250, 0.875, 0.125], [0.625, 0.750, 0.875], [0.500, 0.500, 0.500], [0.875, 0.625, 0.750], [0.750, 0.625, 0.375], [0.625, 0.375, 0.750], [0.750, 0.375, 0.125], [0.417, 0.140, 0.580], [0.125, 0.375, 0.250], [0.940, 0.360, 0.277], [0.000, 0.000, 0.500], [0.920, 0.837, 0.560], [0.337, 0.777, 0.417], [0.580, 0.940, 0.663], [0.360, 0.940, 0.777], [0.375, 0.625, 0.250], [0.640, 0.060, 0.223], [0.417, 0.277, 0.337], [0.777, 0.440, 0.360], [0.223, 0.663, 0.083], [0.580, 0.640, 0.417], [0.375, 0.125, 0.750], [0.375, 0.750, 0.625], [0.125, 0.250, 0.875], [0.640, 0.580, 0.917], [0.875, 0.750, 0.125], [0.420, 0.360, 0.583], [0.875, 0.250, 0.625], [0.140, 0.417, 0.080], [0.500, 0.500, 0.000], [0.500, 0.000, 0.500], [0.560, 0.337, 0.920], [0.560, 0.223, 0.140], [0.420, 0.060, 0.337], [0.140, 0.723, 0.560], [0.625, 0.875, 0.250], [0.500, 0.000, 0.000], [0.125, 0.875, 0.750], [0.940, 0.580, 0.163], [0.920, 0.083, 0.860], [0.080, 0.917, 0.140], [0.917, 0.080, 0.640], [0.060, 0.420, 0.837], [0.000, 0.500, 0.000], [0.223, 0.560, 0.640], [0.625, 0.250, 0.375], [0.000, 0.000, 0.000], [0.337, 0.560, 0.420], [0.375, 0.250, 0.125], [0.750, 0.875, 0.625], [0.250, 0.375, 0.625], [0.250, 0.125, 0.375], [0.837, 0.920, 0.060], [0.125, 0.750, 0.375], [0.083, 0.920, 0.360], [0.440, 0.777, 0.860], [0.917, 0.837, 0.777], [0.663, 0.440, 0.580], [0.723, 0.583, 0.163], [0.277, 0.860, 0.940], [0.000, 0.500, 0.500], [0.440, 0.663, 0.080], [0.163, 0.083, 0.723], [0.875, 0.125, 0.250], [0.777, 0.337, 0.917], [0.277, 0.417, 0.837], [0.583, 0.860, 0.420], [0.250, 0.625, 0.875], [0.583, 0.723, 0.663], [0.860, 0.277, 0.440], [0.083, 0.163, 0.223], [0.360, 0.420, 0.083]], "total_magnetization_mub_per_cell": 0.0, "e_tot_ev_per_atom": -6.21}